# Li5AlCo4O10 | Alexandria via LeMat-Bulk | meta-GGA SCAN | single point on PBEsol structure
data_Li5AlCo4O10
_cell_length_a 2.813
_cell_length_b 2.813
_cell_length_c 23.128
_cell_angle_alpha 86.51
_cell_angle_beta 86.51
_cell_angle_gamma 60.00
_space_group_name_H-M_alt 'P 1'
_space_group_IT_number 1
loop_
_space_group_symop_operation_xyz
'x,y,z'
loop_
_atom_site_label
_atom_site_fract_x
_atom_site_fract_y
_atom_site_fract_z
Co1 0.901 0.901 0.298
Co2 0.300 0.300 0.099
Co3 0.700 0.700 0.901
Co4 0.099 0.099 0.702
Al1 0.500 0.500 0.500
O1 0.752 0.752 0.745
O2 0.952 0.952 0.143
O3 0.352 0.352 0.944
O4 0.152 0.152 0.544
O5 0.553 0.553 0.341
O6 0.447 0.447 0.659
O7 0.648 0.648 0.056
O8 0.048 0.048 0.857
O9 0.848 0.848 0.456
O10 0.248 0.248 0.255
Li1 0.400 0.400 0.801
Li2 0.600 0.600 0.199
Li3 0.000 0.000 0.000
Li4 0.799 0.799 0.602
Li5 0.201 0.201 0.398
# N(E_F)   0.00 states/eV/atom
# ΔE_f (raw)   -2.105 eV per atom

---

# LaAg2Au2 | Alexandria via LeMat-Bulk | meta-GGA SCAN | single point on PBEsol structure
data_LaAg2Au2
_cell_length_a 4.966
_cell_length_b 5.719
_cell_length_c 4.966
_cell_angle_alpha 115.73
_cell_angle_beta 90.00
_cell_angle_gamma 115.73
_space_group_name_H-M_alt 'P 1'
_space_group_IT_number 1
loop_
_space_group_symop_operation_xyz
'x,y,z'
loop_
_atom_site_label
_atom_site_fract_x
_atom_site_fract_y
_atom_site_fract_z
Au1 0.250 0.500 0.750
Au2 0.750 0.500 0.250
Ag1 0.358 0.715 0.358
Ag2 0.642 0.285 0.642
La1 0.000 0.000 0.000
# N(E_F)   0.47 states/eV/atom
# Offset from the most stable computed form   14.90 kJ/mol of atoms
# Energy of formation   -0.408 eV/atom

---

# Be2TeCl | Alexandria via LeMat-Bulk | meta-GGA SCAN | single point on PBEsol structure
data_Be2TeCl
_cell_length_a 2.993
_cell_length_b 3.373
_cell_length_c 8.952
_cell_angle_alpha 90.00
_cell_angle_beta 90.00
_cell_angle_gamma 116.34
_space_group_name_H-M_alt 'P 1'
_space_group_IT_number 1
loop_
_space_group_symop_operation_xyz
'x,y,z'
loop_
_atom_site_label
_atom_site_fract_x
_atom_site_fract_y
_atom_site_fract_z
Be1 0.000 0.000 0.040
Be2 0.500 0.000 0.248
Te1 0.500 0.000 0.811
Cl1 0.000 0.000 0.402
# N(E_F)   0.32 states/eV/atom
# ΔE_f (raw)   0.093 eV per atom
# Offset from the most stable computed form   21.86 kJ/mol of atoms

---

# YZrZn2 | Alexandria via LeMat-Bulk | meta-GGA SCAN | single point on PBEsol structure
data_YZrZn2
_cell_length_a 3.330
_cell_length_b 4.840
_cell_length_c 4.840
_cell_angle_alpha 90.00
_cell_angle_beta 90.00
_cell_angle_gamma 90.00
_space_group_name_H-M_alt 'P 1'
_space_group_IT_number 1
loop_
_space_group_symop_operation_xyz
'x,y,z'
loop_
_atom_site_label
_atom_site_fract_x
_atom_site_fract_y
_atom_site_fract_z
Y1 0.500 0.000 0.000
Zn1 0.000 0.000 0.500
Zn2 0.000 0.500 0.000
Zr1 0.500 0.500 0.500
# N(E_F)   1.12 states/eV/atom
# Energy of formation   -0.342 eV/atom

---

The following size of the total moment values (in μB per atom) correspond, in order, to the records above: 0.000, 0.000, 0.000, 0.000.
The following ρ values (in g/cm3) correspond, in order, to the records above: 4.80, 11.17, 3.71, 6.62.
The following VASP energy values (in eV/atom) correspond, in order, to the records above: -9.67, -49.24, -13.39, -21.73.